Record 1
## Er2Tm (PBE-GGA)

Data for Er2Tm after structural relaxation.

Calculated values
Space group = No. 63
DFT formation energy = 0.62 kcal/mol of atoms
Total magnetization = 0.01 μB per cell

a = 7.828 Å, b = 7.828 Å, c = 4.905 Å
α = 90.00°, β = 90.00°, γ = 143.45°
Positions (direct):
Tm  0.583  0.417  0.750
Er  0.750  0.250  0.250
Er  0.250  0.750  0.750
Tm  0.417  0.583  0.250
Er  0.917  0.083  0.750
Er  0.083  0.917  0.250

Record 2
## ErTm (PBE-GGA)

Data for ErTm after structural relaxation.

Calculated values
Space group = No. 38
DFT formation energy = -0.01 kcal/mol of atoms
Total magnetization = 0.13 μB per cell

a = 5.515 Å, b = 7.115 Å, c = 7.115 Å
α = 60.00°, β = 90.00°, γ = 90.00°
Positions (direct):
Er  0.000  0.333  0.333
Tm  0.000  0.333  0.834
Tm  0.000  0.834  0.333
Er  0.500  0.667  0.667
Tm  0.500  0.166  0.166
Tm  0.000  0.834  0.834
Er  0.500  0.166  0.667
Er  0.500  0.667  0.166

Record 3
## ErTm (PBE-GGA)

Data for ErTm after structural relaxation.

Calculated values
Space group = No. 225
DFT formation energy = 19.13 kcal/mol of atoms
Total magnetization = 0.71 μB per cell

a = 4.538 Å, b = 4.538 Å, c = 4.538 Å
α = 60.00°, β = 60.00°, γ = 60.00°
Site moments in Bohr magnetons follow the coordinates.
Positions (direct):
Er  0.000  0.000  0.000  0.31
Tm  0.500  0.500  0.500  0.31

no.,total DFT energy (no corrections) (eV/cell)
1,-27.04
2,-36.15
3,-7.38